--- one ---
Here is crystalline Li2CaAg at its relaxed geometry from Alexandria. Energies are from PBEsol.

a b c (Å): 4.255 4.319 4.878
angles (deg): 90.00 90.00 90.00
Space group Pmmm (No. 47)
Symmetry-distinct sites (fractional):
Li: 0.000 0.000 0.000 x1
Li: 0.500 0.500 0.000 x1
Ca: 0.000 0.500 0.500 x1
Ag: 0.500 0.000 0.500 x1

As for the density of states at the Fermi level: 2.41 states/eV per cell.



--- two ---
Here is crystalline Li2CaAg at its relaxed geometry from Alexandria. Energies are from PBEsol.

a b c (Å): 11.009 3.611 4.920
angles (deg): 90.00 115.61 90.00
Space group C2/m (No. 12)
Symmetry-distinct sites (fractional):
Li: 0.216 0.000 0.213 x4
Ca: 0.000 0.000 0.500 x2
Ag: 0.000 0.500 0.000 x2

As for the density of states at the Fermi level: 3.57 states/eV per cell.



In order of decreasing stability: two, one.



--- one ---
Here is crystalline Li2CaAg at its relaxed geometry from Alexandria. Energies are from PBEsol.

a b c (Å): 6.888 6.888 6.888
angles (deg): 90.00 90.00 90.00
Space group Fm-3m (No. 225)
Symmetry-distinct sites (fractional):
Li: 0.250 0.250 0.250 x8
Ca: 0.000 0.000 0.000 x4
Ag: 0.000 0.000 0.500 x4

As for the density of states at the Fermi level: 9.95 states/eV per cell.



--- two ---
Here is crystalline Li2CaAg at its relaxed geometry from Alexandria. Energies are from PBEsol.

a b c (Å): 5.914 10.559 3.497
angles (deg): 90.00 123.70 90.00
Space group C2/m (No. 12)
Symmetry-distinct sites (fractional):
Li: 0.250 0.250 0.000 x4
Ca: 0.000 0.000 0.500 x2
Ag: 0.000 0.500 0.500 x2

As for the density of states at the Fermi level: 3.92 states/eV per cell.



--- three ---
Here is crystalline Li2CaAg at its relaxed geometry from Alexandria. Energies are from PBEsol.

a b c (Å): 4.284 4.284 9.210
angles (deg): 90.00 90.00 90.00
Space group I4/mmm (No. 139)
Symmetry-distinct sites (fractional):
Li: 0.000 0.500 0.250 x4
Ca: 0.000 0.000 0.000 x2
Ag: 0.000 0.000 0.500 x2

As for the density of states at the Fermi level: 4.64 states/eV per cell.



--- four ---
Here is crystalline Li2CaAg at its relaxed geometry from Alexandria. Energies are from PBEsol.

a b c (Å): 4.5807 4.5807 14.9357
angles (deg): 90.00 90.00 120.00
Space group R3m (No. 160, hexagonal axes)
Symmetry-distinct sites (fractional):
Li: 0.0000 0.0000 0.0000 x3
Li: 0.0000 0.0000 0.2760 x3
Ca: 0.0000 0.0000 0.4822 x3
Ag: 0.0000 0.0000 0.6922 x3

As for the density of states at the Fermi level: 5.75 states/eV per cell.



In order of decreasing stability: four, three, one, two.



--- one ---
Here is crystalline Li2CaAg at its relaxed geometry from Alexandria. Energies are from PBEsol.

a b c (Å): 5.015 5.015 6.928
angles (deg): 90.00 90.00 90.00
Space group I-4m2 (No. 119)
Symmetry-distinct sites (fractional):
Li: 0.000 0.000 0.000 x2
Li: 0.000 0.500 0.250 x2
Ca: 0.000 0.000 0.500 x2
Ag: 0.000 0.500 0.750 x2

As for the density of states at the Fermi level: 4.26 states/eV per cell.



--- two ---
Here is crystalline Li2CaAg at its relaxed geometry from Alexandria. Energies are from PBEsol.

a b c (Å): 3.581 3.581 6.628
angles (deg): 90.00 90.00 90.00
Space group P4/mmm (No. 123)
Symmetry-distinct sites (fractional):
Li: 0.000 0.000 0.185 x2
Ca: 0.500 0.500 0.500 x1
Ag: 0.500 0.500 0.000 x1

As for the density of states at the Fermi level: 2.15 states/eV per cell.



--- three ---
Here is crystalline Li2CaAg at its relaxed geometry from Alexandria. Energies are from PBEsol.

a b c (Å): 3.570 3.570 6.933
angles (deg): 90.00 90.00 90.00
Space group P4mm (No. 99)
Symmetry-distinct sites (fractional):
Li: 0.000 0.000 0.000 x1
Li: 0.500 0.500 0.209 x1
Ca: 0.000 0.000 0.552 x1
Ag: 0.500 0.500 0.816 x1

As for the density of states at the Fermi level: 2.50 states/eV per cell.



In order of decreasing stability: three, one, two.



--- one ---
Here is crystalline LiCaAg at its relaxed geometry from Alexandria. Energies are from PBEsol.

a b c (Å): 4.5588 4.5588 3.8894
angles (deg): 90.00 90.00 120.00
Space group P-6m2 (No. 187)
Symmetry-distinct sites (fractional):
Li: 0.0000 0.0000 0.0000 x1
Ca: 0.6667 0.3333 0.5000 x1
Ag: 0.3333 0.6667 0.0000 x1

As for the density of states at the Fermi level: 1.39 states/eV per cell.



--- two ---
Here is crystalline LiCaAg at its relaxed geometry from Alexandria. Energies are from PBEsol.

a b c (Å): 3.605 3.605 10.253
angles (deg): 90.00 90.00 90.00
Space group I4mm (No. 107)
Symmetry-distinct sites (fractional):
Li: 0.000 0.000 0.000 x2
Ca: 0.000 0.000 0.709 x2
Ag: 0.000 0.000 0.391 x2

As for the density of states at the Fermi level: 3.29 states/eV per cell.



In order of decreasing stability: two, one.